Entry 1:
Here is a relaxed Tm4Al2Sn crystal from Alexandria via LeMat-Bulk. Energies are from GGA-PBE.

Computed properties:
Crystal system   monoclinic
E_tot   -4.52 eV per atom

Unit cell a=5.4558 b=6.3961 c=10.3806 alpha=90.00 beta=100.53 gamma=90.00
Atoms (fractional coordinates):
Tm  0.1312  0.2500  0.1284
Tm  0.2420  0.7500  0.4496
Tm  0.3271  0.0051  0.7363
Tm  0.3271  0.4949  0.7363
Tm  0.6729  0.5051  0.2637
Tm  0.6729  0.9949  0.2637
Tm  0.7580  0.2500  0.5504
Tm  0.8688  0.7500  0.8716
Al  0.2184  0.2500  0.4325
Al  0.4240  0.7500  0.9931
Al  0.5760  0.2500  0.0069
Al  0.7816  0.7500  0.5675
Sn  0.1116  0.7500  0.1646
Sn  0.8884  0.2500  0.8354

***

Entry 2:
Here is a relaxed Tl2Ag2SBr2 crystal from Alexandria via LeMat-Bulk. Energies are from GGA-PBE.

Computed properties:
Crystal system   triclinic
Energy relative to the elements, uncorrected   -397 meV per atom
E_tot   -2.96 eV per atom

Unit cell a=4.2636 b=7.2127 c=7.8971 alpha=113.69 beta=90.41 gamma=106.67
Atoms (fractional coordinates):
Tl  0.0423  0.0772  0.2863
Tl  0.9577  0.9228  0.7137
Ag  0.3075  0.6096  0.9223
Ag  0.6925  0.3904  0.0777
S  0.5000  0.0000  0.0000
Br  0.3062  0.6194  0.2927
Br  0.6938  0.3806  0.7073

***

Entry 3:
Here is a relaxed LiMnRu crystal from Alexandria via LeMat-Bulk. Energies are from GGA-PBE.

Computed properties:
Energy above the most stable polymorph in this dataset   1.25 eV per formula unit
Crystal system   cubic
E_tot   -6.23 eV per atom

Unit cell a=3.9232 b=3.9232 c=3.9232 alpha=60.00 beta=60.00 gamma=60.00
Atoms (fractional coordinates):
Li  0.0000  0.0000  0.0000
Mn  0.7500  0.7500  0.7500
Ru  0.5000  0.5000  0.5000

***

Entry 4:
Here is a relaxed PuMn2Ga crystal from Alexandria via LeMat-Bulk. Energies are from GGA-PBE.

Computed properties:
Crystal system   tetragonal
E_tot   -8.69 eV per atom

Unit cell a=2.7553 b=2.7553 c=8.1740 alpha=90.00 beta=90.00 gamma=90.00
Atoms (fractional coordinates):
Pu  0.0000  0.0000  0.0000
Mn  0.5000  0.5000  0.2847
Mn  0.5000  0.5000  0.7153
Ga  0.0000  0.0000  0.5000

***

Entry 5:
Here is a relaxed PrSnRh4 crystal from Alexandria via LeMat-Bulk. Energies are from GGA-PBE.

Computed properties:
Energy above the most stable polymorph in this dataset   0.86 eV per formula unit
Crystal system   orthorhombic
E_tot   -6.65 eV per atom

Unit cell a=7.6109 b=4.1491 c=7.1022 alpha=90.00 beta=90.00 gamma=90.00
Atoms (fractional coordinates):
Pr  0.2500  0.0000  0.1735
Pr  0.7500  0.0000  0.8265
Sn  0.2500  0.0000  0.7441
Sn  0.7500  0.0000  0.2559
Rh  0.0000  0.0000  0.5000
Rh  0.0372  0.5000  0.7976
Rh  0.2500  0.5000  0.4659
Rh  0.4628  0.5000  0.7976
Rh  0.5000  0.0000  0.5000
Rh  0.5372  0.5000  0.2024
Rh  0.7500  0.5000  0.5341
Rh  0.9628  0.5000  0.2024

***

Entry 6:
Here is a relaxed AcAs2I crystal from Alexandria via LeMat-Bulk. Energies are from GGA-PBE.

Computed properties:
Crystal system   tetragonal
Energy relative to the elements, uncorrected   -466 meV per atom
E_tot   -4.20 eV per atom

Unit cell a=4.5109 b=4.5109 c=5.5617 alpha=90.00 beta=90.00 gamma=90.00
Atoms (fractional coordinates):
Ac  0.0000  0.0000  0.0000
As  0.0000  0.5000  0.5000
As  0.5000  0.0000  0.5000
I  0.5000  0.5000  0.0000

***

Entry 7:
Here is a relaxed Li2Ce2ThIn2 crystal from Alexandria via LeMat-Bulk. Energies are from GGA-PBE.

Computed properties:
Crystal system   trigonal
E_tot   -4.23 eV per atom

Unit cell a=9.6573 b=9.6573 c=9.6573 alpha=27.78 beta=27.78 gamma=27.78
Atoms (fractional coordinates):
Li  0.0856  0.0856  0.0856
Li  0.9144  0.9144  0.9144
Ce  0.3557  0.3557  0.3557
Ce  0.6443  0.6443  0.6443
Th  0.5000  0.5000  0.5000
In  0.2368  0.2368  0.2368
In  0.7632  0.7632  0.7632

***

Entry 8:
Here is a relaxed TlCo2As crystal from Alexandria via LeMat-Bulk. Energies are from GGA-PBE.

Computed properties:
Energy above the most stable polymorph in this dataset   1.18 eV per formula unit
Crystal system   cubic
E_tot   -4.85 eV per atom

Unit cell a=4.4089 b=4.4089 c=4.4089 alpha=60.00 beta=60.00 gamma=60.00
Atoms (fractional coordinates):
Tl  0.0000  0.0000  0.0000
Co  0.2500  0.2500  0.2500
Co  0.7500  0.7500  0.7500
As  0.5000  0.5000  0.5000

***

Entry 9:
Here is a relaxed CoP2Rh crystal from Alexandria via LeMat-Bulk. Energies are from GGA-PBE.

Computed properties:
Energy above the most stable polymorph in this dataset   1.35 eV per formula unit
Crystal system   cubic
E_tot   -6.40 eV per atom

Unit cell a=4.1308 b=4.1308 c=4.1308 alpha=60.00 beta=60.00 gamma=60.00
Atoms (fractional coordinates):
Co  0.0000  0.0000  0.0000
P  0.2500  0.2500  0.2500
P  0.7500  0.7500  0.7500
Rh  0.5000  0.5000  0.5000

***

Entry 10:
Here is a relaxed ScPbO crystal from Alexandria via LeMat-Bulk. Energies are from GGA-PBE.

Computed properties:
Crystal system   trigonal
Energy relative to the elements, uncorrected   -1956 meV per atom
E_tot   -6.96 eV per atom

Unit cell a=3.5335 b=3.5335 c=10.9133 alpha=90.00 beta=90.00 gamma=120.00
Atoms (fractional coordinates):
Sc  0.3333  0.6667  0.3777
Sc  0.6667  0.3333  0.6223
Pb  0.0000  0.0000  0.1402
Pb  0.0000  0.0000  0.8598
O  0.3333  0.6667  0.5803
O  0.6667  0.3333  0.4197

***

Entry 11:
Here is a relaxed RbTcO4 crystal from Alexandria via LeMat-Bulk. Energies are from GGA-PBE.

Computed properties:
Energy above the most stable polymorph in this dataset   2.20 eV per formula unit
Crystal system   triclinic
Energy relative to the elements, uncorrected   -1329 meV per atom
E_tot   -6.52 eV per atom

Unit cell a=5.3042 b=5.3528 c=7.5033 alpha=109.11 beta=110.65 gamma=90.01
Atoms (fractional coordinates):
Rb  0.2256  0.2504  0.0006
Rb  0.7744  0.7496  0.9994
Tc  0.0000  0.5000  0.5000
Tc  0.5000  0.0000  0.5000
O  0.1766  0.7561  0.4392
O  0.2193  0.6383  0.7651
O  0.2630  0.2564  0.4397
O  0.4548  0.8624  0.2349
O  0.5452  0.1376  0.7651
O  0.7370  0.7436  0.5603
O  0.7807  0.3617  0.2349
O  0.8234  0.2439  0.5608

***

Entry 12:
Here is a relaxed Sb4As2Au3 crystal from Alexandria via LeMat-Bulk. Energies are from GGA-PBE.

Computed properties:
Crystal system   monoclinic
Energy relative to the elements, uncorrected   44 meV per atom
E_tot   -3.91 eV per atom

Unit cell a=8.3900 b=8.3900 c=8.8945 alpha=116.92 beta=116.92 gamma=86.88
Atoms (fractional coordinates):
Sb  0.0114  0.8069  0.8449
Sb  0.1931  0.9886  0.6551
Sb  0.1944  0.4442  0.1321
Sb  0.4442  0.1944  0.6321
Sb  0.5558  0.8056  0.3679
Sb  0.8056  0.5558  0.8679
Sb  0.8069  0.0114  0.3449
Sb  0.9886  0.1931  0.1551
As  0.1006  0.4946  0.6515
As  0.4946  0.1006  0.1515
As  0.5054  0.8994  0.8485
As  0.8994  0.5054  0.3485
Au  0.0206  0.7368  0.2642
Au  0.2632  0.9794  0.2358
Au  0.4383  0.5617  0.7500
Au  0.5617  0.4383  0.2500
Au  0.7368  0.0206  0.7642
Au  0.9794  0.2632  0.7358